(1)
Material: ZnCd2Pd2
Method: DFT, SCAN
State: PBEsol geometry

## Properties
ΔE to the lowest computed polymorph: 427 meV per atom
Space-group type: I4/mmm
ρ: 8.85 Mg/m³

abc: 3.753 3.753 7.207
angles: 105.09 105.09 90.00
Atoms (fractional coordinates):
Pd  0.250  0.750  0.500
Cd  0.398  0.398  0.796
Pd  0.750  0.250  0.500
Cd  0.602  0.602  0.204
Zn  0.000  0.000  0.000

---

(2)
Material: ZnCd2Pd2
Method: DFT, SCAN
State: PBEsol geometry

## Properties
ΔE to the lowest computed polymorph: 0 meV per atom
Space-group type: P4/mbm
ρ: 9.70 Mg/m³

abc: 4.078 6.499 6.499
angles: 90.00 90.00 90.00
Atoms (fractional coordinates):
Cd  0.500  0.659  0.841
Zn  0.000  0.500  0.500
Pd  0.000  0.646  0.146
Pd  0.000  0.854  0.646
Pd  0.000  0.146  0.354
Cd  0.500  0.841  0.341
Cd  0.500  0.341  0.159
Cd  0.500  0.159  0.659
Zn  0.000  0.000  0.000
Pd  0.000  0.354  0.854

---

(3)
Material: Zr3CdPd
Method: DFT, SCAN
State: PBEsol geometry

## Properties
Space-group type: Pm-3m
ρ: 6.58 Mg/m³

abc: 4.992 4.992 4.992
angles: 90.00 90.00 90.00
Atoms (fractional coordinates):
Cd  0.500  0.500  0.500
Zr  0.000  0.000  0.500
Pd  0.000  0.000  0.000
Zr  0.500  0.000  0.000
Zr  0.000  0.500  0.000

---

(4)
Material: PmZn2Cd
Method: DFT, SCAN
State: PBEsol geometry

## Properties
Space-group type: Fm-3m
ρ: 8.28 Mg/m³

abc: 4.792 4.792 4.792
angles: 60.00 60.00 60.00
Atoms (fractional coordinates):
Zn  0.250  0.250  0.250
Cd  0.500  0.500  0.500
Zn  0.750  0.750  0.750
Pm  0.000  0.000  0.000

---

| no. | energy relative to the elements (eV/atom) | V (Å³ per cell) | density of states at the Fermi level (states/eV/cell) |
| --- | --- | --- | --- |
| 1 | 0.074 | 94.4 | 1.507 |
| 2 | -0.353 | 172.2 | 4.457 |
| 3 | 0.265 | 124.4 | 6.368 |
| 4 | -0.385 | 77.8 | 1.155 |